Compound: CrSb
Source: the Alexandria database
Functional: PBE
Structure: optimized geometry

extended XYZ file:
```
8
Lattice="4.136 0.000 0.000 -2.068 3.581 0.000 0.000 0.000 12.008" Properties=species:S:1:pos:R:3 pbc="T T T"
Cr 0.000 0.000 3.002
Cr 0.000 0.000 9.006
Cr 0.000 2.388 3.002
Cr 2.068 1.194 9.006
Sb 0.000 2.388 7.412
Sb 0.000 2.388 10.600
Sb 2.068 1.194 1.408
Sb 2.068 1.194 4.596
```

Values from the calculation:
volume: 178 Å³ per cell
crystal system: hexagonal
raw formation energy: 0.192 eV/atom
VASP energy: -6.680 eV/atom